1.
Below is a relaxed structure of Zn2SiHg, with properties calculated at the PBE-GGA level.

Results
Energy above the most stable polymorph in this dataset, kJ/mol of formula units: 10
M_tot, μB per cell: 0.00
DOS(E_F), states/eV per cell: 1.2
E_tot, hartree per atom: -0.067
E_form (uncorrected), eV/atom: 0.251

Cell: 2.8792 4.3301 6.0861 Å, 90.00 102.94 90.00°
Closest atoms and distances in Å follow each position.
Positions (direct):
Zn  0.0000  0.0000  0.0000  2 Si 2.63, 6 Zn 2.72-2.88
Zn  0.4332  0.5000  0.8628  2 Si 2.71-2.72, 6 Zn 2.72-2.88, 2 Hg 2.87
Si  0.1219  0.5000  0.2510  4 Zn 2.63-2.72, 2 Hg 2.78, 2 Si 2.88
Hg  0.2704  0.0000  0.5448  2 Si 2.78, 4 Zn 2.87-3.08, 2 Hg 2.88

***

2.
Below is a relaxed structure of ZnSi2Hg, with properties calculated at the PBE-GGA level.

Results
Energy above the most stable polymorph in this dataset, kJ/mol of formula units: 16
M_tot, μB per cell: 0.00
DOS(E_F), states/eV per cell: 1.6
E_tot, hartree per atom: -0.103
E_form (uncorrected), eV/atom: 0.291

Cell: 3.3146 3.3146 7.4928 Å, 90.00 90.00 90.00°
Closest atoms and distances in Å follow each position.
Positions (direct):
Zn  0.0000  0.0000  0.0000  1 Si 2.42
Si  0.0000  0.0000  0.6764  1 Zn 2.42, 4 Si 2.45
Si  0.5000  0.5000  0.5792  4 Si 2.45, 1 Hg 2.61
Hg  0.5000  0.5000  0.2312  1 Si 2.61, 4 Zn 2.91

***

3.
Below is a relaxed structure of ZnSi2Hg, with properties calculated at the PBE-GGA level.

Results
Energy above the most stable polymorph in this dataset, kJ/mol of formula units: 61
M_tot, μB per cell: 0.00
DOS(E_F), states/eV per cell: 0.7
E_tot, hartree per atom: -0.099
E_form (uncorrected), eV/atom: 0.407

Cell: 11.3223 11.3223 11.3223 Å, 14.16 14.16 14.16°
Closest atoms and distances in Å follow each position.
Positions (direct):
Zn  0.0000  0.0000  0.0000  6 Zn 2.79, 6 Si 2.83
Si  0.2640  0.2640  0.2640  6 Si 2.79, 3 Zn 2.83
Si  0.7360  0.7360  0.7360  6 Si 2.79, 3 Zn 2.83
Hg  0.5000  0.5000  0.5000  6 Hg 2.79

***

4.
Below is a relaxed structure of Zn2SiHg, with properties calculated at the PBE-GGA level.

Results
Energy above the most stable polymorph in this dataset, kJ/mol of formula units: 27
M_tot, μB per cell: 0.00
DOS(E_F), states/eV per cell: 1.1
E_tot, hartree per atom: -0.065
E_form (uncorrected), eV/atom: 0.296

Cell: 3.0703 3.8649 6.2998 Å, 90.00 90.00 90.00°
Closest atoms and distances in Å follow each position.
Positions (direct):
Zn  0.0000  0.0000  0.0000  4 Si 2.61
Zn  0.5000  0.5000  0.2735  1 Si 2.56
Si  0.5000  0.5000  0.8667  5 Zn 2.56-2.61
Hg  0.0000  0.0000  0.5162  5 Zn 2.90-3.05, 2 Hg 3.07

***

5.
Below is a relaxed structure of Zn2SiHg, with properties calculated at the PBE-GGA level.

Results
Energy above the most stable polymorph in this dataset, kJ/mol of formula units: 26
M_tot, μB per cell: 0.00
DOS(E_F), states/eV per cell: 0.8
E_tot, hartree per atom: -0.065
E_form (uncorrected), eV/atom: 0.294

Cell: 11.3189 11.3189 11.3189 Å, 14.18 14.18 14.18°
Closest atoms and distances in Å follow each position.
Positions (direct):
Zn  0.0000  0.0000  0.0000  9 Zn 2.79-3.05, 3 Si 2.82
Zn  0.2562  0.2562  0.2562  9 Zn 2.79-3.05
Si  0.7354  0.7354  0.7354  6 Si 2.79, 3 Zn 2.82
Hg  0.4978  0.4978  0.4978  6 Hg 2.79

***

6.
Below is a relaxed structure of ZnSiHg3, with properties calculated at the PBE-GGA level.

Results
Energy above the most stable polymorph in this dataset, kJ/mol of formula units: 0
M_tot, μB per cell: 0.00
DOS(E_F), states/eV per cell: 2.2
E_tot, hartree per atom: -0.043
E_form (uncorrected), eV/atom: 0.340

Cell: 5.1969 5.1969 5.1969 Å, 90.00 90.00 90.00°
Closest atoms and distances in Å follow each position.
Positions (direct):
Zn  0.0000  0.0000  0.0000  12 Hg 3.67
Si  0.5000  0.5000  0.5000  6 Hg 2.60
Hg  0.0000  0.5000  0.5000  2 Si 2.60
Hg  0.5000  0.0000  0.5000  2 Si 2.60
Hg  0.5000  0.5000  0.0000  2 Si 2.60

***

7.
Below is a relaxed structure of ZnSi2Hg, with properties calculated at the PBE-GGA level.

Results
Energy above the most stable polymorph in this dataset, kJ/mol of formula units: 139
M_tot, μB per cell: 0.00
DOS(E_F), states/eV per cell: 1.5
E_tot, hartree per atom: -0.092
E_form (uncorrected), eV/atom: 0.611

Cell: 4.7132 4.7132 4.7132 Å, 60.00 60.00 60.00°
Closest atoms and distances in Å follow each position.
Positions (direct):
Zn  0.0000  0.0000  0.0000  8 Si 2.89
Si  0.2500  0.2500  0.2500  4 Hg 2.89, 4 Zn 2.89
Si  0.7500  0.7500  0.7500  4 Hg 2.89, 4 Zn 2.89
Hg  0.5000  0.5000  0.5000  8 Si 2.89

***

8.
Below is a relaxed structure of ZnSi2Hg, with properties calculated at the PBE-GGA level.

Results
Energy above the most stable polymorph in this dataset, kJ/mol of formula units: 50
M_tot, μB per cell: 0.00
DOS(E_F), states/eV per cell: 1.2
E_tot, hartree per atom: -0.100
E_form (uncorrected), eV/atom: 0.380

Cell: 6.0139 6.0139 3.7338 Å, 107.98 107.98 36.12°
Closest atoms and distances in Å follow each position.
Positions (direct):
Zn  0.0000  0.0000  0.0000  4 Hg 2.64, 2 Si 2.64
Si  0.2442  0.2442  0.2443  1 Zn 2.64, 4 Si 2.64, 1 Hg 2.77
Si  0.7558  0.7558  0.7557  1 Zn 2.64, 4 Si 2.64, 1 Hg 2.77
Hg  0.5000  0.5000  0.5000  4 Zn 2.64, 2 Si 2.77

***

Question: Which formula does entry 3 have?
Answer: ZnSi2Hg

***

Repeat the second record exactly.
Below is a relaxed structure of ZnSi2Hg, with properties calculated at the PBE-GGA level.

Results
Energy above the most stable polymorph in this dataset, kJ/mol of formula units: 16
M_tot, μB per cell: 0.00
DOS(E_F), states/eV per cell: 1.6
E_tot, hartree per atom: -0.103
E_form (uncorrected), eV/atom: 0.291

Cell: 3.3146 3.3146 7.4928 Å, 90.00 90.00 90.00°
Closest atoms and distances in Å follow each position.
Positions (direct):
Zn  0.0000  0.0000  0.0000  1 Si 2.42
Si  0.0000  0.0000  0.6764  1 Zn 2.42, 4 Si 2.45
Si  0.5000  0.5000  0.5792  4 Si 2.45, 1 Hg 2.61
Hg  0.5000  0.5000  0.2312  1 Si 2.61, 4 Zn 2.91